# Ac2Mg3In2

An optimized crystal structure of Ac2Mg3In2 (PBE, Alexandria).

Computed properties:
The calculation puts the spin magnetization at 0.00 μB per cell. The calculated formation energy comes out at -193 kJ/mol of formula units. The calculation puts the total energy at -40.95 eV for the cell shown. The calculation puts the theoretical density at 6.000 g/cm³.

CIF file:
```
data_Ac2Mg3In2
_symmetry_space_group_name_H-M 'C 1 2/m 1'
_symmetry_Int_Tables_number 12
_cell_length_a 11.9386
_cell_length_b 5.0153
_cell_length_c 7.5120
_cell_angle_alpha 90.00
_cell_angle_beta 111.41
_cell_angle_gamma 90.00
loop_
_symmetry_equiv_pos_as_xyz
'x,y,z'
'-x,-y,-z'
'-x,y,-z'
'x,-y,z'
'x+1/2,y+1/2,z'
'-x+1/2,-y+1/2,-z'
'-x+1/2,y+1/2,-z'
'x+1/2,-y+1/2,z'
loop_
_atom_site_label
_atom_site_type_symbol
_atom_site_fract_x
_atom_site_fract_y
_atom_site_fract_z
Ac1 Ac 0.1503 0.0000 0.2698
Mg1 Mg 0.0000 0.5000 0.5000
Mg2 Mg 0.1035 0.5000 0.9281
In1 In 0.1472 0.0000 0.7436
```